Entry from Alexandria: LaCo2F2 after structural relaxation (PBE with a Hubbard U).

## Properties
Relative energy among the computed polymorphs ... 0.172 eV per atom
V ... 83.6 Å³/cell
Symmetry ... No. 139
ρ ... 5.856 g/cm3
E ... -4.947 eV per atom

a = 3.306 Å, b = 3.306 Å, c = 7.997 Å
α = 78.07°, β = 78.07°, γ = 90.00°
Fractional coordinates of all 5 atoms:
F  0.575  0.575  0.850
F  0.425  0.425  0.150
Co  0.250  0.750  0.500
Co  0.750  0.250  0.500
La  0.000  0.000  0.000